1.
This record from Alexandria via LeMat-Bulk describes BaInSb3 after structural relaxation. The functional is GGA-PBE.

Lattice parameters (Å, degrees): 6.2936 6.2936 6.2936 90.00 90.00 90.00
Last column: nearest neighbours and their distance in Å.
Fractional positions:
1 Ba 0.0000 0.0000 0.0000  6 Sb 3.15
2 In 0.5000 0.5000 0.5000  12 Sb 4.45
3 Sb 0.0000 0.0000 0.5000  2 Ba 3.15
4 Sb 0.0000 0.5000 0.0000  2 Ba 3.15
5 Sb 0.5000 0.0000 0.0000  2 Ba 3.15

Computed properties:
Density (Mg/m³): 4.1
D(E_F) (states/eV/cell): 4.23
Raw formation energy (eV per atom): 0.760
Offset from the most stable computed form (eV/atom): 1.112
Raw total energy (eV/atom): -2.646
SG: No. 221

***

2.
This record from Alexandria via LeMat-Bulk describes Nd2YTm after structural relaxation. The functional is GGA-PBE.

Lattice parameters (Å, degrees): 3.6210 3.6210 10.1093 90.00 90.00 90.00
Last column: nearest neighbours and their distance in Å.
Fractional positions:
1 Nd 0.0000 0.0000 0.2469  4 Tm 3.58, 4 Y 3.62, 4 Nd 3.62
2 Nd 0.0000 0.0000 0.7531  4 Tm 3.58, 4 Y 3.62, 4 Nd 3.62
3 Y 0.5000 0.5000 0.5000  8 Nd 3.62, 4 Y 3.62
4 Tm 0.5000 0.5000 0.0000  8 Nd 3.58, 4 Tm 3.62

Computed properties:
Density (Mg/m³): 6.8
D(E_F) (states/eV/cell): 6.07
Offset from the most stable computed form (eV/atom): 0.007
Raw total energy (eV/atom): -5.097
SG: No. 123
Energy of formation from the pure elements (eV per atom): 0.02

***

3.
This record from Alexandria via LeMat-Bulk describes CeErSnPt after structural relaxation. The functional is GGA-PBE.

Lattice parameters (Å, degrees): 5.1983 5.1983 5.1983 60.00 60.00 60.00
Last column: nearest neighbours and their distance in Å.
Fractional positions:
1 Ce 0.0000 0.0000 0.0000  4 Pt 3.18, 4 Sn 3.18
2 Er 0.5000 0.5000 0.5000  4 Pt 3.18, 4 Sn 3.18
3 Sn 0.2500 0.2500 0.2500  4 Ce 3.18, 4 Er 3.18
4 Pt 0.7500 0.7500 0.7500  4 Ce 3.18, 4 Er 3.18

Computed properties:
Density (Mg/m³): 10.4
D(E_F) (states/eV/cell): 7.87
Raw total energy (eV/atom): -5.877
SG: No. 216
Energy of formation from the pure elements (eV per atom): -0.74

***

4.
This record from Alexandria via LeMat-Bulk describes Ba2InCu3O6 after structural relaxation. The functional is GGA-PBE.

Lattice parameters (Å, degrees): 3.8592 3.8592 12.1144 90.00 90.00 90.00
Last column: nearest neighbours and their distance in Å.
Fractional positions:
1 Ba 0.0000 0.0000 0.1974  8 O 2.79-2.98
2 Ba 0.0000 0.0000 0.8026  8 O 2.79-2.98
3 In 0.0000 0.0000 0.5000  8 O 2.38
4 Cu 0.5000 0.5000 0.0000  2 O 1.82
5 Cu 0.5000 0.5000 0.3682  4 O 1.94
6 Cu 0.5000 0.5000 0.6318  4 O 1.94
7 O 0.0000 0.5000 0.3849  2 Cu 1.94
8 O 0.0000 0.5000 0.6151  2 Cu 1.94
9 O 0.5000 0.0000 0.3849  2 Cu 1.94
10 O 0.5000 0.0000 0.6151  2 Cu 1.94
11 O 0.5000 0.5000 0.1499  1 Cu 1.82
12 O 0.5000 0.5000 0.8501  1 Cu 1.82

Computed properties:
Density (Mg/m³): 6.2
D(E_F) (states/eV/cell): 6.22
Raw formation energy (eV per atom): -1.417
Raw total energy (eV/atom): -5.469
SG: No. 123

***

5.
This record from Alexandria via LeMat-Bulk describes LaLuZnIr after structural relaxation. The functional is GGA-PBE.

Lattice parameters (Å, degrees): 5.0139 5.0139 5.0139 60.00 60.00 60.00
Last column: nearest neighbours and their distance in Å.
Fractional positions:
1 La 0.0000 0.0000 0.0000  4 Zn 3.07, 4 Ir 3.07
2 Lu 0.5000 0.5000 0.5000  4 Ir 3.07, 4 Zn 3.07
3 Zn 0.7500 0.7500 0.7500  4 La 3.07, 4 Lu 3.07
4 Ir 0.2500 0.2500 0.2500  4 La 3.07, 4 Lu 3.07

Computed properties:
Density (Mg/m³): 10.6
D(E_F) (states/eV/cell): 2.39
Raw total energy (eV/atom): -5.450
SG: No. 216
Energy of formation from the pure elements (eV per atom): -0.55

***

6.
This record from Alexandria via LeMat-Bulk describes Li3Ho2Pd4 after structural relaxation. The functional is GGA-PBE.

Lattice parameters (Å, degrees): 4.6962 4.6962 8.9358 96.81 96.81 55.05
Last column: nearest neighbours and their distance in Å.
Fractional positions:
1 Li 0.0000 0.0000 0.0000  6 Pd 2.76-2.87
2 Li 0.3531 0.3531 0.4339  1 Li 2.57, 3 Pd 2.72-2.82
3 Li 0.6469 0.6469 0.5661  1 Li 2.57, 3 Pd 2.72-2.82
4 Ho 0.3220 0.3220 0.7798  7 Pd 2.84-2.88, 5 Li 3.12-3.16
5 Ho 0.6780 0.6780 0.2202  7 Pd 2.84-2.88, 5 Li 3.12-3.16
6 Pd 0.0147 0.0147 0.3476  5 Li 2.72-3.03, 1 Pd 2.77, 3 Ho 2.88
7 Pd 0.3418 0.3418 0.1025  4 Li 2.76-2.95, 4 Ho 2.84-2.87
8 Pd 0.6582 0.6582 0.8975  4 Li 2.76-2.95, 4 Ho 2.84-2.87
9 Pd 0.9853 0.9853 0.6524  5 Li 2.72-3.03, 1 Pd 2.77, 3 Ho 2.88

Computed properties:
Density (Mg/m³): 8.1
D(E_F) (states/eV/cell): 3.60
Raw total energy (eV/atom): -4.573
SG: No. 12
Energy of formation from the pure elements (eV per atom): -0.61

***

7.
This record from Alexandria via LeMat-Bulk describes Pr5NdSe6 after structural relaxation. The functional is GGA-PBE.

Lattice parameters (Å, degrees): 7.3917 7.3917 7.3678 99.66 99.66 120.15
Last column: nearest neighbours and their distance in Å.
Fractional positions:
1 Pr 0.0000 0.0000 0.0000  6 Se 3.01-3.03
2 Pr 0.1669 0.8331 0.5000  6 Se 3.01-3.02
3 Pr 0.3323 0.6677 0.0000  6 Se 3.01-3.02
4 Pr 0.6677 0.3323 0.0000  6 Se 3.01-3.02
5 Pr 0.8331 0.1669 0.5000  6 Se 3.01-3.02
6 Nd 0.5000 0.5000 0.5000  6 Se 3.00
7 Se 0.0855 0.4170 0.2512  1 Nd 3.00, 5 Pr 3.01-3.02
8 Se 0.2515 0.2515 0.7494  1 Nd 3.00, 5 Pr 3.02-3.03
9 Se 0.4170 0.0855 0.2512  1 Nd 3.00, 5 Pr 3.01-3.02
10 Se 0.5830 0.9145 0.7488  1 Nd 3.00, 5 Pr 3.01-3.02
11 Se 0.7485 0.7485 0.2506  1 Nd 3.00, 5 Pr 3.02-3.03
12 Se 0.9145 0.5830 0.7488  1 Nd 3.00, 5 Pr 3.01-3.02

Computed properties:
Density (Mg/m³): 6.7
D(E_F) (states/eV/cell): 5.21
Raw formation energy (eV per atom): -1.846
Raw total energy (eV/atom): -5.977
SG: No. 12

***

8.
This record from Alexandria via LeMat-Bulk describes GeRhSe2 after structural relaxation. The functional is GGA-PBE.

Lattice parameters (Å, degrees): 8.3599 8.3599 8.3599 25.25 25.25 25.25
Last column: nearest neighbours and their distance in Å.
Fractional positions:
1 Ge 0.0000 0.0000 0.0000  2 Se 2.73
2 Rh 0.5000 0.5000 0.5000  6 Se 2.49
3 Se 0.1125 0.1125 0.1125  3 Rh 2.49, 1 Ge 2.73
4 Se 0.8875 0.8875 0.8875  3 Rh 2.49, 1 Ge 2.73

Computed properties:
Density (Mg/m³): 5.9
D(E_F) (states/eV/cell): 3.03
Raw formation energy (eV per atom): -0.082
Raw total energy (eV/atom): -4.817
SG: No. 166

***

9.
This record from Alexandria via LeMat-Bulk describes LiMg2Bi after structural relaxation. The functional is GGA-PBE.

Lattice parameters (Å, degrees): 10.8868 10.8868 10.8868 156.59 156.59 33.35
Last column: nearest neighbours and their distance in Å.
Fractional positions:
1 Li 0.0000 0.0000 0.0000  4 Mg 3.03, 4 Bi 3.12
2 Li 0.7500 0.2500 0.5000  4 Mg 3.03, 4 Bi 3.12
3 Mg 0.1169 0.6250 0.9919  2 Li 3.03, 2 Bi 3.05, 4 Mg 3.07-3.17
4 Mg 0.3750 0.3669 0.4919  2 Li 3.03, 2 Bi 3.05, 4 Mg 3.07-3.17
5 Mg 0.6331 0.1250 0.0081  2 Li 3.03, 2 Bi 3.05, 4 Mg 3.07-3.17
6 Mg 0.8750 0.8831 0.5081  2 Li 3.03, 2 Bi 3.05, 4 Mg 3.07-3.17
7 Bi 0.2500 0.7500 0.5000  4 Mg 3.05, 4 Li 3.12
8 Bi 0.5000 0.5000 0.0000  4 Mg 3.05, 4 Li 3.12

Computed properties:
Density (Mg/m³): 4.3
D(E_F) (states/eV/cell): 4.15
Raw total energy (eV/atom): -2.269
SG: No. 122
Energy of formation from the pure elements (eV per atom): -0.02

***

10.
This record from Alexandria via LeMat-Bulk describes Zr2CrGaSb after structural relaxation. The functional is GGA-PBE.

Lattice parameters (Å, degrees): 4.9837 4.9837 4.9840 90.00 90.00 90.00
Last column: nearest neighbours and their distance in Å.
Fractional positions:
1 Zr 0.0000 0.5000 0.0000  2 Ga 2.49
2 Zr 0.5000 0.0000 0.0000  2 Ga 2.49
3 Cr 0.0000 0.0000 0.5000  4 Sb 3.52, 8 Zr 3.52
4 Ga 0.5000 0.5000 0.0000  4 Zr 2.49, 2 Sb 2.49
5 Sb 0.5000 0.5000 0.5000  2 Ga 2.49

Computed properties:
Density (Mg/m³): 5.7
D(E_F) (states/eV/cell): 5.23
Raw formation energy (eV per atom): 1.178
Raw total energy (eV/atom): -5.595
SG: No. 123

***

11.
This record from Alexandria via LeMat-Bulk describes CaIrPt after structural relaxation. The functional is GGA-PBE.

Lattice parameters (Å, degrees): 9.9500 7.8877 7.0218 83.51 51.97 44.52
Last column: nearest neighbours and their distance in Å.
Fractional positions:
1 Ca 0.0114 0.7613 0.2387  4 Pt 2.82-3.03, 5 Ir 3.03-3.14
2 Ca 0.2387 0.9886 0.0114  4 Pt 2.82-3.03, 5 Ir 3.03-3.14
3 Ca 0.7613 0.0114 0.9886  4 Pt 2.82-3.03, 5 Ir 3.03-3.14
4 Ca 0.9886 0.2387 0.7613  4 Pt 2.82-3.03, 5 Ir 3.03-3.14
5 Ir 0.3264 0.6736 0.3264  2 Ir 2.59, 2 Pt 2.82
6 Ir 0.4173 0.4173 0.5827  3 Ir 2.47-2.59
7 Ir 0.5827 0.5827 0.4173  3 Ir 2.47-2.59
8 Ir 0.6736 0.3264 0.6736  2 Ir 2.59, 2 Pt 2.82
9 Pt 0.1371 0.4863 0.5137  1 Pt 2.71, 2 Ir 2.78-2.82, 3 Ca 2.82-2.86
10 Pt 0.4863 0.1371 0.8629  1 Pt 2.71, 2 Ir 2.78-2.82, 3 Ca 2.82-2.86
11 Pt 0.5137 0.8629 0.1371  1 Pt 2.71, 2 Ir 2.78-2.82, 3 Ca 2.82-2.86
12 Pt 0.8629 0.5137 0.4863  1 Pt 2.71, 2 Ir 2.78-2.82, 3 Ca 2.82-2.86

Computed properties:
Density (Mg/m³): 11.6
D(E_F) (states/eV/cell): 9.66
Offset from the most stable computed form (eV/atom): 0.500
Raw total energy (eV/atom): -5.834
SG: No. 69
Energy of formation from the pure elements (eV per atom): -0.20

***

12.
This record from Alexandria via LeMat-Bulk describes NiAg2Pt after structural relaxation. The functional is GGA-PBE.

Lattice parameters (Å, degrees): 2.8041 2.8041 7.9189 90.00 90.00 90.00
Last column: nearest neighbours and their distance in Å.
Fractional positions:
1 Ni 0.0000 0.0000 0.0000  4 Pt 2.59, 4 Ag 2.74, 4 Ni 2.80
2 Ag 0.0000 0.0000 0.4817  8 Ag 2.80-2.97, 4 Pt 2.92
3 Ag 0.5000 0.5000 0.7611  4 Ni 2.74, 8 Ag 2.80-2.97
4 Pt 0.5000 0.5000 0.2111  4 Ni 2.59, 4 Pt 2.80

Computed properties:
Density (Mg/m³): 12.5
D(E_F) (states/eV/cell): 4.35
Raw total energy (eV/atom): -4.329
SG: No. 99
Energy of formation from the pure elements (eV per atom): 0.05